A relaxed structure of Cs2TbTlCl6. Source: Alexandria, functional PBE.

Results
The formation energy (no corrections) is -1978 meV per atom. The value obtained for the total DFT energy (no corrections) is -79.13 eV per cell. The crystal system is monoclinic. As for the space group: P2_1/c (14).

abc: 7.9571 8.2253 11.3809
angles: 90.00 89.91 90.00
Closest atoms and distances in Å follow each position.
Element x y z (fractional)
Tl 0.0000 0.5000 0.5000  6 Cl 3.18-3.22
Tl 0.5000 0.0000 0.0000  6 Cl 3.18-3.22
Cl 0.0805 0.4769 0.7732  1 Tb 2.67
Cl 0.8200 0.7677 0.9556  1 Tb 2.68
Cl 0.9195 0.5231 0.2268  1 Tb 2.67
Cl 0.5805 0.0231 0.2732  1 Tb 2.67
Cl 0.7706 0.8161 0.5391  1 Tb 2.67
Cl 0.4195 0.9769 0.7268  1 Tb 2.67
Cl 0.6800 0.2677 0.5444  1 Tb 2.68
Cl 0.1800 0.2323 0.0444  1 Tb 2.68
Cl 0.2294 0.1839 0.4609  1 Tb 2.67
Cl 0.3200 0.7323 0.4556  1 Tb 2.68
Cl 0.7294 0.3161 0.9609  1 Tb 2.67
Cl 0.2706 0.6839 0.0391  1 Tb 2.67
Tb 0.0000 0.5000 0.0000  6 Cl 2.67-2.68
Tb 0.5000 0.0000 0.5000  6 Cl 2.67-2.68
Cs 0.5155 0.5554 0.7502  6 Cl 3.53-3.80
Cs 0.0155 0.9446 0.2502  6 Cl 3.53-3.80
Cs 0.4845 0.4446 0.2498  6 Cl 3.53-3.80
Cs 0.9845 0.0554 0.7498  6 Cl 3.53-3.80

---

A relaxed structure of CsTbZnCl6. Source: Alexandria, functional PBE.

Results
The formation energy (no corrections) is -1847 meV per atom. The value obtained for the total DFT energy (no corrections) is -34.46 eV per cell. The crystal system is trigonal. As for the space group: P312 (149).

abc: 6.7885 6.7885 7.7799
angles: 90.00 90.00 59.99
Closest atoms and distances in Å follow each position.
Element x y z (fractional)
Cl 0.9822 0.6289 0.6907  1 Zn 2.51, 1 Tb 2.67
Cl 0.6289 0.9822 0.3093  1 Zn 2.51, 1 Tb 2.67
Cl 0.3888 0.9822 0.6905  1 Zn 2.51, 1 Tb 2.67
Cl 0.6288 0.3889 0.6906  1 Zn 2.51, 1 Tb 2.67
Cl 0.3889 0.6288 0.3093  1 Zn 2.51, 1 Tb 2.67
Cl 0.9822 0.3888 0.3094  1 Zn 2.51, 1 Tb 2.67
Zn 0.6666 0.6667 0.5000  6 Cl 2.51
Tb 0.3334 0.3334 0.5000  6 Cl 2.67
Cs 0.0000 0.0001 0.0000  6 Cl 3.53

---

A relaxed structure of CsTbZn2Cl8. Source: Alexandria, functional PBE.

Results
The formation energy (no corrections) is -1672 meV per atom. The value obtained for the total DFT energy (no corrections) is -42.87 eV per cell. The crystal system is trigonal. As for the space group: R-3 (148).

abc: 6.5355 6.5355 10.9199
angles: 72.59 72.59 60.00
Closest atoms and distances in Å follow each position.
Element x y z (fractional)
Cl 0.9495 0.6172 0.1530  1 Zn 2.33
Cl 0.0505 0.3828 0.8470  1 Zn 2.33
Cl 0.8160 0.8160 0.5521  1 Zn 2.21
Cl 0.3828 0.7196 0.8470  1 Zn 2.33
Cl 0.2804 0.9495 0.1530  1 Zn 2.33
Cl 0.7196 0.0505 0.8470  1 Zn 2.33
Cl 0.6172 0.2804 0.1530  1 Zn 2.33
Cl 0.1840 0.1840 0.4479  1 Zn 2.21
Zn 0.2559 0.2559 0.2322  4 Cl 2.21-2.33
Zn 0.7441 0.7441 0.7678  4 Cl 2.21-2.33
Cs 0.5000 0.5000 0.5000  12 Cl 3.81-4.17
Tb 0.0000 0.0000 0.0000  6 Cl 2.67

---

A relaxed structure of CsTcCl3. Source: Alexandria, functional PBE.

Results
The formation energy (no corrections) is -856 meV per atom. The value obtained for the total DFT energy (no corrections) is -42.08 eV per cell. The crystal system is monoclinic. As for the space group: P2_1/m (11).

abc: 5.1571 8.4963 8.0668
angles: 121.34 90.00 90.00
Closest atoms and distances in Å follow each position.
Element x y z (fractional)
Tc 0.1955 0.7070 0.7759  3 Cl 2.35-2.40, 2 Tc 2.58
Tc 0.6955 0.7146 0.7782  3 Cl 2.35-2.40, 2 Tc 2.58
Cl 0.6955 0.5941 0.9835  1 Tc 2.36
Cl 0.1955 0.9519 0.1014  1 Tc 2.35
Cl 0.6955 0.0374 0.8876  1 Tc 2.40
Cl 0.6955 0.4697 0.4527  1 Tc 2.35
Cl 0.1955 0.3841 0.6665  1 Tc 2.40
Cl 0.1955 0.8275 0.5706  1 Tc 2.36
Cs 0.6955 0.0465 0.4468  9 Cl 3.57-3.71
Cs 0.1955 0.3750 0.1073  9 Cl 3.57-3.71